Entry 1:
The following is a PBE calculation of Pm2SmDy7 after structural relaxation, from Alexandria via LeMat-Bulk.

Calculated values
calculated density: 7.92 g/cm3
energy of formation from the pure elements: 0.1636 eV per atom
symmetry: No. 65
total magnetic moment: 0.000 Bohr magnetons per cell

a = 14.813 Å, b = 14.813 Å, c = 3.515 Å
α = 90.00°, β = 90.00°, γ = 154.59°
Fractional positions:
Pm (0.207, 0.793, 0.000)
Pm (0.793, 0.207, 0.000)
Sm (0.500, 0.500, 0.500)
Dy (0.000, 0.000, 0.000)
Dy (0.154, 0.352, 0.000)
Dy (0.314, 0.686, 0.500)
Dy (0.352, 0.154, 0.000)
Dy (0.648, 0.846, 0.000)
Dy (0.686, 0.314, 0.500)
Dy (0.846, 0.648, 0.000)

Entry 2:
The following is a PBE calculation of CaH3Pd6 after structural relaxation, from Alexandria via LeMat-Bulk.

Calculated values
DFT total energy: -4.59 eV per atom
calculated density: 8.61 g/cm3
symmetry: No. 1
total magnetic moment: 0.000 Bohr magnetons per cell

a = 5.419 Å, b = 5.578 Å, c = 5.584 Å
α = 83.32°, β = 62.63°, γ = 62.11°
Fractional positions:
Ca (0.000, 0.000, 0.000)
H (0.315, 0.246, 0.715)
H (0.333, 0.748, 0.239)
H (0.707, 0.301, 0.736)
Pd (0.268, 0.515, 0.493)
Pd (0.302, 0.409, 0.002)
Pd (0.308, 0.022, 0.403)
Pd (0.727, 0.598, 0.972)
Pd (0.730, 0.996, 0.586)
Pd (0.764, 0.513, 0.471)

Entry 3:
The following is a PBE calculation of IrCl3 after structural relaxation, from Alexandria via LeMat-Bulk.

Calculated values
calculated density: 5.67 g/cm3
E_form (uncorrected): 47 meV per atom
symmetry: No. 122
total magnetic moment: 0.000 Bohr magnetons per cell

a = 6.409 Å, b = 6.409 Å, c = 6.409 Å
α = 98.87°, β = 98.87°, γ = 133.77°
Fractional positions:
Ir (0.000, 0.000, 0.000)
Ir (0.750, 0.250, 0.500)
Cl (0.250, 0.750, 0.500)
Cl (0.375, 0.009, 0.134)
Cl (0.500, 0.500, 0.000)
Cl (0.759, 0.625, 0.634)
Cl (0.875, 0.241, 0.866)
Cl (0.991, 0.125, 0.366)

Entry 4:
The following is a PBE calculation of YNbGa3 after structural relaxation, from Alexandria via LeMat-Bulk.

Calculated values
calculated density: 5.42 g/cm3
energy of formation from the pure elements: 0.0060 eV per atom
symmetry: No. 221
total magnetic moment: 0.000 Bohr magnetons per cell

a = 4.928 Å, b = 4.928 Å, c = 4.928 Å
α = 90.00°, β = 90.00°, γ = 90.00°
Fractional positions:
Y (0.000, 0.000, 0.000)
Nb (0.500, 0.500, 0.500)
Ga (0.000, 0.500, 0.500)
Ga (0.500, 0.000, 0.500)
Ga (0.500, 0.500, 0.000)

Entry 5:
The following is a PBE calculation of La2HoSc after structural relaxation, from Alexandria via LeMat-Bulk.

Calculated values
calculated density: 6.29 g/cm3
energy of formation from the pure elements: 0.0409 eV per atom
symmetry: No. 2
total magnetic moment: 0.000 Bohr magnetons per cell

a = 3.665 Å, b = 6.084 Å, c = 11.798 Å
α = 97.44°, β = 98.92°, γ = 90.02°
Fractional positions:
La (0.070, 0.364, 0.137)
La (0.187, 0.042, 0.374)
La (0.813, 0.958, 0.626)
La (0.930, 0.636, 0.863)
Ho (0.440, 0.147, 0.881)
Ho (0.560, 0.853, 0.119)
Sc (0.305, 0.448, 0.611)
Sc (0.695, 0.552, 0.389)

Entry 6:
The following is a PBE calculation of TcNiIr3 after structural relaxation, from Alexandria via LeMat-Bulk.

Calculated values
calculated density: 11.99 g/cm3
energy of formation from the pure elements: 1.9369 eV per atom
symmetry: No. 221
total magnetic moment: 0.811 Bohr magnetons per cell

a = 4.665 Å, b = 4.665 Å, c = 4.665 Å
α = 90.00°, β = 90.00°, γ = 90.00°
Fractional positions:
Tc (0.000, 0.000, 0.000)
Ni (0.500, 0.500, 0.500)
Ir (0.000, 0.000, 0.500)
Ir (0.000, 0.500, 0.000)
Ir (0.500, 0.000, 0.000)

Entry 7:
The following is a PBE calculation of Nd2Ho8Sc after structural relaxation, from Alexandria via LeMat-Bulk.

Calculated values
calculated density: 7.82 g/cm3
energy of formation from the pure elements: 0.1659 eV per atom
symmetry: No. 12
total magnetic moment: 0.000 Bohr magnetons per cell

a = 8.848 Å, b = 8.848 Å, c = 6.621 Å
α = 100.93°, β = 100.93°, γ = 43.75°
Fractional positions:
Nd (0.190, 0.190, 0.302)
Nd (0.810, 0.810, 0.698)
Ho (0.177, 0.657, 0.108)
Ho (0.244, 0.244, 0.816)
Ho (0.343, 0.823, 0.892)
Ho (0.409, 0.409, 0.588)
Ho (0.591, 0.591, 0.412)
Ho (0.657, 0.177, 0.108)
Ho (0.756, 0.756, 0.184)
Ho (0.823, 0.343, 0.892)
Sc (0.000, 0.000, 0.500)

Entry 8:
The following is a PBE calculation of Ag2IrSe after structural relaxation, from Alexandria via LeMat-Bulk.

Calculated values
calculated density: 11.60 g/cm3
E_form (uncorrected): 441 meV per atom
symmetry: No. 65
total magnetic moment: 0.004 Bohr magnetons per cell

a = 5.328 Å, b = 5.328 Å, c = 2.804 Å
α = 90.00°, β = 90.00°, γ = 118.82°
Fractional positions:
Ag (0.000, 0.500, 0.000)
Ag (0.500, 0.000, 0.000)
Ir (0.000, 0.000, 0.500)
Se (0.500, 0.500, 0.500)

Entry 9:
The following is a PBE calculation of ZrPaPdRu after structural relaxation, from Alexandria via LeMat-Bulk.

Calculated values
calculated density: 11.23 g/cm3
energy of formation from the pure elements: -0.4116 eV per atom
symmetry: No. 216
total magnetic moment: 0.002 Bohr magnetons per cell

a = 4.802 Å, b = 4.802 Å, c = 4.802 Å
α = 60.00°, β = 60.00°, γ = 60.00°
Fractional positions:
Zr (0.000, 0.000, 0.000)
Pa (0.500, 0.500, 0.500)
Pd (0.750, 0.750, 0.750)
Ru (0.250, 0.250, 0.250)

Entry 10:
The following is a PBE calculation of TiFe2Br6 after structural relaxation, from Alexandria via LeMat-Bulk.

Calculated values
calculated density: 4.11 g/cm3
E_form (uncorrected): -554 meV per atom
symmetry: No. 15
total magnetic moment: 17.881 Bohr magnetons per cell

a = 8.730 Å, b = 8.730 Å, c = 6.929 Å
α = 97.29°, β = 97.29°, γ = 83.37°
Fractional positions:
Ti (0.092, 0.908, 0.750)
Ti (0.908, 0.092, 0.250)
Fe (0.223, 0.394, 0.682)
Fe (0.394, 0.223, 0.182)
Fe (0.606, 0.777, 0.818)
Fe (0.777, 0.606, 0.318)
Br (0.028, 0.193, 0.618)
Br (0.117, 0.637, 0.866)
Br (0.193, 0.028, 0.118)
Br (0.289, 0.454, 0.373)
Br (0.363, 0.883, 0.634)
Br (0.454, 0.289, 0.873)
Br (0.546, 0.711, 0.127)
Br (0.637, 0.117, 0.366)
Br (0.711, 0.546, 0.627)
Br (0.807, 0.972, 0.882)
Br (0.883, 0.363, 0.134)
Br (0.972, 0.807, 0.382)

Entry 11:
The following is a PBE calculation of Ba5Bi2SeO after structural relaxation, from Alexandria via LeMat-Bulk.

Calculated values
calculated density: 5.64 g/cm3
E_form (uncorrected): -1511 meV per atom
symmetry: No. 123
total magnetic moment: 0.000 Bohr magnetons per cell

a = 5.275 Å, b = 5.275 Å, c = 12.705 Å
α = 90.00°, β = 90.00°, γ = 90.00°
Fractional positions:
Ba (0.000, 0.000, 0.000)
Ba (0.000, 0.500, 0.500)
Ba (0.500, 0.000, 0.500)
Ba (0.500, 0.500, 0.249)
Ba (0.500, 0.500, 0.751)
Bi (0.000, 0.000, 0.290)
Bi (0.000, 0.000, 0.710)
Se (0.500, 0.500, 0.000)
O (0.500, 0.500, 0.500)

Entry 12:
The following is a PBE calculation of Rb2Re2Mo after structural relaxation, from Alexandria via LeMat-Bulk.

Calculated values
calculated density: 8.67 g/cm3
energy of formation from the pure elements: 2.0693 eV per atom
symmetry: No. 139
total magnetic moment: 0.319 Bohr magnetons per cell

a = 8.694 Å, b = 8.694 Å, c = 8.694 Å
α = 154.40°, β = 154.40°, γ = 36.51°
Fractional positions:
Rb (0.250, 0.750, 0.500)
Rb (0.750, 0.250, 0.500)
Re (0.066, 0.066, 0.000)
Re (0.934, 0.934, 0.000)
Mo (0.500, 0.500, 0.000)

Repeat the third record exactly.
The following is a PBE calculation of IrCl3 after structural relaxation, from Alexandria via LeMat-Bulk.

Calculated values
calculated density: 5.67 g/cm3
E_form (uncorrected): 47 meV per atom
symmetry: No. 122
total magnetic moment: 0.000 Bohr magnetons per cell

a = 6.409 Å, b = 6.409 Å, c = 6.409 Å
α = 98.87°, β = 98.87°, γ = 133.77°
Fractional positions:
Ir (0.000, 0.000, 0.000)
Ir (0.750, 0.250, 0.500)
Cl (0.250, 0.750, 0.500)
Cl (0.375, 0.009, 0.134)
Cl (0.500, 0.500, 0.000)
Cl (0.759, 0.625, 0.634)
Cl (0.875, 0.241, 0.866)
Cl (0.991, 0.125, 0.366)

Q: Which of these has the highest total magnetic moment?
A: TiFe2Br6

Q: Among the records above, which one has the lowest calculated density?
A: TiFe2Br6

Q: Which of these has the highest calculated density?
A: TcNiIr3